[1]
VASP calculation (meta-GGA SCAN) on a PBEsol-optimized structure of ZnCo2MoW.

Calculated values
SG = P4/mmm
mass density = 8.7 Mg/m³
energy of formation = 1859 meV/atom
spin magnetization = 2.11 μB per cell
V = 88 Å³ per cell

POSCAR file:
```
ZnCo2MoW
1.0
4.3324 0.0000 0.0000
0.0000 4.3324 0.0000
0.0000 0.0000 4.6847
Zn Co Mo W
1 2 1 1
Direct
0.0000 0.0000 0.0000
0.0000 0.5000 0.5000
0.5000 0.0000 0.5000
0.5000 0.5000 0.5000
0.5000 0.5000 0.0000
```



[2]
VASP calculation (meta-GGA SCAN) on a PBEsol-optimized structure of BaLa2O4.

Calculated values
formation energy from raw total energies = -3.4285 eV/atom
SG = Cmcm
offset from the most stable computed form = 44.5 meV per atom
mass density = 6.3 Mg/m³
spin magnetization = 0.00 μB per cell
V = 252 Å³ per cell

POSCAR file:
```
BaLa2O4
1.0
1.8043 -5.9740 0.0000
1.8043 5.9740 0.0000
0.0000 0.0000 11.6760
Ba La O
2 4 8
Direct
0.1134 0.8866 0.7500
0.8866 0.1134 0.2500
0.3674 0.6326 0.5724
0.3674 0.6326 0.9276
0.6326 0.3674 0.0724
0.6326 0.3674 0.4276
0.0000 0.0000 0.0000
0.0000 0.0000 0.5000
0.2625 0.7375 0.1050
0.2625 0.7375 0.3950
0.4569 0.5431 0.7500
0.5431 0.4569 0.2500
0.7375 0.2625 0.6050
0.7375 0.2625 0.8950
```



[3]
VASP calculation (meta-GGA SCAN) on a PBEsol-optimized structure of CaTa.

Calculated values
SG = Pm-3m
offset from the most stable computed form = 570.6 meV per atom
mass density = 7.9 Mg/m³
energy of formation = 1465 meV/atom
spin magnetization = 1.28 μB per cell
V = 46 Å³ per cell

POSCAR file:
```
CaTa
1.0
3.5935 0.0000 0.0000
0.0000 3.5935 0.0000
0.0000 0.0000 3.5935
Ca Ta
1 1
Direct
0.0000 0.0000 0.0000
0.5000 0.5000 0.5000
```



[4]
VASP calculation (meta-GGA SCAN) on a PBEsol-optimized structure of KMoIO6.

Calculated values
formation energy from raw total energies = -1.5247 eV/atom
SG = Pbca
offset from the most stable computed form = 3.6 meV per atom
mass density = 4.3 Mg/m³
spin magnetization = 0.00 μB per cell
V = 1095 Å³ per cell

POSCAR file:
```
KMoIO6
1.0
7.3065 0.0000 0.0000
0.0000 19.3586 0.0000
0.0000 0.0000 7.7400
K Mo I O
8 8 8 48
Direct
0.1628 0.0716 0.1885
0.1628 0.4284 0.6885
0.3372 0.5716 0.1885
0.3372 0.9284 0.6885
0.6628 0.0716 0.3115
0.6628 0.4284 0.8115
0.8372 0.5716 0.3115
0.8372 0.9284 0.8115
0.0799 0.1063 0.7179
0.0799 0.3937 0.2179
0.4201 0.6063 0.7179
0.4201 0.8937 0.2179
0.5799 0.1063 0.7821
0.5799 0.3937 0.2821
0.9201 0.6063 0.7821
0.9201 0.8937 0.2821
0.0827 0.7252 0.5034
0.0827 0.7748 0.0034
0.4173 0.2252 0.5034
0.4173 0.2748 0.0034
0.5827 0.7252 0.9966
0.5827 0.7748 0.4966
0.9173 0.2252 0.9966
0.9173 0.2748 0.4966
0.0063 0.0769 0.5215
0.0063 0.4231 0.0215
0.0555 0.2105 0.6159
0.0555 0.2895 0.1159
0.1101 0.0315 0.8359
0.1101 0.4685 0.3359
0.1307 0.1760 0.9404
0.1307 0.3240 0.4404
0.1490 0.6761 0.3167
0.1490 0.8239 0.8167
0.1683 0.6257 0.6805
0.1683 0.8743 0.1805
0.3317 0.1257 0.6805
0.3317 0.3743 0.1805
0.3510 0.1761 0.3167
0.3510 0.3239 0.8167
0.3693 0.6760 0.9404
0.3693 0.8240 0.4404
0.3899 0.5315 0.8359
0.3899 0.9685 0.3359
0.4445 0.7105 0.6159
0.4445 0.7895 0.1159
0.4937 0.5769 0.5215
0.4937 0.9231 0.0215
0.5063 0.0769 0.9785
0.5063 0.4231 0.4785
0.5555 0.2105 0.8841
0.5555 0.2895 0.3841
0.6101 0.0315 0.6641
0.6101 0.4685 0.1641
0.6307 0.1760 0.5596
0.6307 0.3240 0.0596
0.6490 0.6761 0.1833
0.6490 0.8239 0.6833
0.6683 0.6257 0.8195
0.6683 0.8743 0.3195
0.8317 0.1257 0.8195
0.8317 0.3743 0.3195
0.8510 0.1761 0.1833
0.8510 0.3239 0.6833
0.8693 0.6760 0.5596
0.8693 0.8240 0.0596
0.8899 0.5315 0.6641
0.8899 0.9685 0.1641
0.9445 0.7105 0.8841
0.9445 0.7895 0.3841
0.9937 0.5769 0.9785
0.9937 0.9231 0.4785
```



[5]
VASP calculation (meta-GGA SCAN) on a PBEsol-optimized structure of SiSbW.

Calculated values
formation energy from raw total energies = 0.4066 eV/atom
SG = I4mm
mass density = 11.0 Mg/m³
spin magnetization = 0.00 μB per cell
V = 101 Å³ per cell

POSCAR file:
```
SiSbW
1.0
3.3515 0.0000 0.0000
0.0000 3.3515 0.0000
0.0000 0.0000 9.0055
Si Sb W
2 2 2
Direct
0.0000 0.0000 0.0000
0.5000 0.5000 0.5000
0.0000 0.0000 0.3093
0.5000 0.5000 0.8093
0.0000 0.0000 0.6223
0.5000 0.5000 0.1223
```



[6]
VASP calculation (meta-GGA SCAN) on a PBEsol-optimized structure of CrTe2As.

Calculated values
formation energy from raw total energies = -0.0522 eV/atom
SG = I4/mmm
mass density = 6.6 Mg/m³
spin magnetization = 7.64 μB per cell
V = 191 Å³ per cell

POSCAR file:
```
CrTe2As
1.0
5.6809 0.0000 0.0000
0.0000 5.6809 0.0000
0.0000 0.0000 5.9138
Cr Te As
2 4 2
Direct
0.0000 0.0000 0.0000
0.5000 0.5000 0.5000
0.0000 0.5000 0.0000
0.0000 0.5000 0.5000
0.5000 0.0000 0.0000
0.5000 0.0000 0.5000
0.0000 0.0000 0.5000
0.5000 0.5000 0.0000
```



[7]
VASP calculation (meta-GGA SCAN) on a PBEsol-optimized structure of K2RhPb.

Calculated values
SG = Pmmm
mass density = 6.3 Mg/m³
energy of formation = 331 meV/atom
spin magnetization = 0.00 μB per cell
V = 103 Å³ per cell

POSCAR file:
```
K2RhPb
1.0
3.3691 0.0000 0.0000
0.0000 5.4373 0.0000
0.0000 0.0000 5.6138
K Rh Pb
2 1 1
Direct
0.0000 0.0000 0.2407
0.0000 0.0000 0.7593
0.5000 0.5000 0.0000
0.5000 0.5000 0.5000
```



[8]
VASP calculation (meta-GGA SCAN) on a PBEsol-optimized structure of Cr2SbRh.

Calculated values
formation energy from raw total energies = -0.0470 eV/atom
SG = P4mm
mass density = 9.1 Mg/m³
spin magnetization = 0.06 μB per cell
V = 60 Å³ per cell

POSCAR file:
```
Cr2SbRh
1.0
3.2685 0.0000 0.0000
0.0000 3.2685 0.0000
0.0000 0.0000 5.5932
Cr Sb Rh
2 1 1
Direct
0.0000 0.0000 0.0000
0.5000 0.5000 0.1647
0.5000 0.5000 0.6877
0.0000 0.0000 0.4656
```



Sequential energy output: -28.680, -24.955, -36.658, -14.563, -38.582, -28.322, -31.222, -26.997 eV/atom